Ta3Mo6W | PBE-GGA | optimized geometry

Computed properties:
The calculation puts the total energy at -108.61 eV per formula unit. For the total magnetic moment, the calculation gives 0.0 μB/f.u. The volume is 17.818 Å³/atom. The value obtained for the density of states at the Fermi level is 8.06 states/eV per cell. Its symmetry is C2/m.

Cell: 9.850 6.721 6.721 Å, 44.63 40.52 40.52°
Positions (direct):
1 Ta 0.244 0.244 0.244
2 Ta 0.756 0.756 0.756
3 Ta 0.000 0.000 0.000
4 Mo 0.333 0.177 0.674
5 Mo 0.667 0.326 0.823
6 Mo 0.667 0.823 0.326
7 Mo 0.333 0.674 0.177
8 Mo 0.063 0.751 0.751
9 Mo 0.937 0.249 0.249
10 W 0.500 0.500 0.500

TaMoW3 | PBE-GGA | optimized geometry

Computed properties:
The calculation puts the total energy at -51.46 eV per formula unit. For the total magnetic moment, the calculation gives 0.0 μB/f.u. The volume is 20.430 Å³/atom. The value obtained for the density of states at the Fermi level is 6.68 states/eV per cell. Its symmetry is Pm-3m.

Cell: 4.675 4.675 4.675 Å, 90.00 90.00 90.00°
Positions (direct):
1 Mo 0.000 0.000 0.000
2 W 0.000 0.500 0.000
3 W 0.000 0.000 0.500
4 W 0.500 0.000 0.000
5 Ta 0.500 0.500 0.500

Ta2Mo3W2 | PBE-GGA | optimized geometry

Computed properties:
The calculation puts the total energy at -82.93 eV per formula unit. For the total magnetic moment, the calculation gives 0.0 μB/f.u. The volume is 16.499 Å³/atom. The value obtained for the density of states at the Fermi level is 3.85 states/eV per cell. Its symmetry is P-1.

Cell: 3.202 5.319 7.176 Å, 82.27 90.01 72.64°
Positions (direct):
1 Ta 0.711 0.578 0.147
2 Ta 0.289 0.422 0.853
3 Mo 0.000 0.000 0.000
4 Mo 0.858 0.284 0.568
5 Mo 0.142 0.716 0.432
6 W 0.570 0.860 0.712
7 W 0.430 0.140 0.288

| no. | energy of formation (eV per formula unit) |
| --- | --- |
| 1 | 4.89 |
| 2 | 10.09 |
| 3 | -0.82 |